CdTc2Hg | Alexandria | PBE | optimized geometry; symmetry = Cm, No. 8; energy above the lowest structure with this stoichiometry = 31.28 kJ/mol of atoms; ΔH_f (0 K) = 499 meV/atom; density = 12.1 Mg/m³
1.0
4.8413 0.0070 0.0026
3.9712 2.7691 0.0026
0.7240 0.2281 5.2062
Hg Cd Tc
1 1 2
Cartesian
2.4222 0.7630 1.3338
4.7382 1.4926 2.5821
0.7402 0.2332 5.0041
7.1281 2.2455 4.1035